Below is LiSmF2 after structural relaxation, with properties calculated at the GGA-PBE level.

Summary:
magnetization = 0.0 μB/cell
formation energy without anion corrections = -242 kJ/mol of atoms
calculated volume = 13.40 A^3/atom

Geometry as POSCAR:
```
LiSmF2
1.0
-0.594 -1.083 -2.971
1.443 -2.675 -1.056
-4.256 -4.530 0.760
Li Sm F
1 1 2
Cartesian
-1.703 -4.144 -1.633
0.000 0.000 0.000
-1.163 -2.296 -0.673
-2.244 -5.991 -2.594
```